VASP calculation (GGA-PBEsol) on MgZrSe2Br after structural relaxation.

Results
ΔE_f (raw)	-698	meV/atom

Lattice parameters (Å, degrees): 5.1831 5.1831 5.1878 90.00 90.00 90.00
Closest atoms and distances in Å follow each position.
Element x y z (fractional)
Mg1 0.0000 0.0000 0.0000  4 Br 3.67, 8 Se 3.67
Zr1 0.5000 0.5000 0.5000  4 Se 2.59, 2 Br 2.59
Se1 0.0000 0.5000 0.5000  2 Zr 2.59
Se2 0.5000 0.0000 0.5000  2 Zr 2.59
Br1 0.5000 0.5000 0.0000  2 Zr 2.59

***

VASP calculation (GGA-PBEsol) on CdBr3 after structural relaxation.

Results
ΔE_f (raw)	-284	meV/atom

Lattice parameters (Å, degrees): 3.7521 3.7521 9.3513 90.00 90.00 120.00
Closest atoms and distances in Å follow each position.
Element x y z (fractional)
Cd1 0.0000 0.0000 0.0000  6 Br 2.78
Br1 0.0000 0.0000 0.5000  12 Br 3.65-3.75
Br2 0.6667 0.3333 0.1860  3 Cd 2.78
Br3 0.6667 0.3333 0.8140  3 Cd 2.78

***

VASP calculation (GGA-PBEsol) on SbSeCl2 after structural relaxation.

Results
offset from the most stable computed form	478	meV per atom
ΔE_f (raw)	95	meV/atom

Lattice parameters (Å, degrees): 3.1245 4.3066 6.1674 90.00 90.00 90.00
Closest atoms and distances in Å follow each position.
Element x y z (fractional)
Sb1 0.0000 0.0000 0.0000  8 Cl 3.04, 2 Se 3.08, 2 Sb 3.12
Se1 0.0000 0.0000 0.5000  2 Sb 3.08, 8 Cl 3.11, 2 Se 3.12
Cl1 0.5000 0.5000 0.2389  4 Cl 2.95-3.22, 4 Sb 3.04, 4 Se 3.11
Cl2 0.5000 0.5000 0.7611  4 Cl 2.95-3.22, 4 Sb 3.04, 4 Se 3.11

***

VASP calculation (GGA-PBEsol) on Tl5Hg after structural relaxation.

Results
offset from the most stable computed form	1	meV per atom
ΔE_f	3	meV per atom

Lattice parameters (Å, degrees): 5.4294 8.5487 8.5487 24.50 90.00 90.00
Closest atoms and distances in Å follow each position.
Element x y z (fractional)
Tl1 0.0000 0.0000 0.0000  2 Hg 3.24, 10 Tl 3.33-3.63
Tl2 0.0000 0.3233 0.3233  2 Hg 3.26, 10 Tl 3.31-3.63
Tl3 0.5000 0.1287 0.1287  8 Tl 3.28-3.63, 4 Hg 3.31
Tl4 0.5000 0.4594 0.4594  12 Tl 3.33-3.63
Tl5 0.5000 0.7920 0.7920  10 Tl 3.28-3.63, 2 Hg 3.49
Hg1 0.0000 0.6609 0.6609  10 Tl 3.24-3.49, 2 Hg 3.63

***

VASP calculation (GGA-PBEsol) on Li2YZr after structural relaxation.

Results
offset from the most stable computed form	217	meV per atom
ΔE_f	523	meV per atom

Lattice parameters (Å, degrees): 6.1993 6.1993 6.1993 102.17 102.17 125.33
Closest atoms and distances in Å follow each position.
Element x y z (fractional)
Li1 0.1184 0.1250 0.4934  2 Zr 2.81, 2 Li 2.85, 2 Y 2.88
Li2 0.3750 0.8816 0.0066  2 Zr 2.81, 2 Li 2.85, 2 Y 2.88
Li3 0.6316 0.6250 0.5066  2 Zr 2.81, 2 Li 2.85, 2 Y 2.88
Li4 0.8750 0.3684 0.9934  2 Zr 2.81, 2 Li 2.85, 2 Y 2.88
Y1 0.2500 0.7500 0.5000  2 Zr 2.85, 4 Li 2.88
Y2 0.5000 0.5000 0.0000  2 Zr 2.85, 4 Li 2.88
Zr1 0.0000 0.0000 0.0000  4 Li 2.81, 2 Y 2.85
Zr2 0.7500 0.2500 0.5000  4 Li 2.81, 2 Y 2.85

***

VASP calculation (GGA-PBEsol) on Na2TiH after structural relaxation.

Results
energy	-3.036	eV per atom

Lattice parameters (Å, degrees): 7.1888 7.1888 7.1888 93.64 93.64 150.81
Closest atoms and distances in Å follow each position.
Element x y z (fractional)
Na1 0.3750 0.0099 0.1349  2 H 2.75, 2 Ti 3.03
Na2 0.7599 0.6250 0.6349  2 H 2.75, 2 Ti 3.03
Na3 0.8750 0.2401 0.8651  2 H 2.75, 2 Ti 3.03
Na4 0.9901 0.1250 0.3651  2 H 2.75, 2 Ti 3.03
Ti1 0.2500 0.7500 0.5000  2 H 1.81
Ti2 0.5000 0.5000 0.0000  2 H 1.81
H1 0.0000 0.0000 0.0000  2 Ti 1.81
H2 0.7500 0.2500 0.5000  2 Ti 1.81

***

Q: Which spin magnetization values were calculated for the entries above? A: 0.0 1.0 0.0 0.0 0.0 4.1, in μB/cell.